This record from Alexandria via LeMat-Bulk describes MoAuI2O after structural relaxation. The functional is PBE+U.

POSCAR file:
```
MoAuI2O
1.0
5.8830 0.0000 0.0000
0.0000 5.8830 0.0000
0.0000 0.0000 3.8638
Mo Au I O
1 1 2 1
direct
0.0000 0.0000 0.0000
0.5000 0.5000 0.5000
0.0000 0.5000 0.0000
0.5000 0.0000 0.0000
0.0000 0.0000 0.5000
```

- Offset from the most stable computed form: 0 meV per atom
- Fermi-level density of states: 1.899 states/eV per cell